(1)
VASP calculation (PBE) on crystalline AgSb3Se4 at its relaxed geometry.

a b c (Å): 5.8946 6.7706 11.3530
angles (deg): 90.00 90.00 90.00
Element x y z (fractional)
Se: 0.0735 0.3252 0.2330
Se: 0.1112 0.8454 0.0000
Se: 0.6112 0.1546 0.5000
Se: 0.5479 0.3327 0.0000
Se: 0.5735 0.6748 0.7330
Se: 0.5735 0.6748 0.2670
Se: 0.0735 0.3252 0.7670
Se: 0.0479 0.6673 0.5000
Sb: 0.5493 0.9421 0.0000
Sb: 0.0710 0.7196 0.2496
Sb: 0.5710 0.2804 0.2504
Sb: 0.5710 0.2804 0.7496
Sb: 0.0493 0.0579 0.5000
Sb: 0.0710 0.7196 0.7504
Ag: 0.5179 0.7387 0.5000
Ag: 0.0179 0.2613 0.0000

Summary:
Theoretical density, g cm⁻³: 5.783
Final energy, eV per atom: -3.7056
Symmetry: Pmn2_1
Spin magnetization, μB per formula unit: 0.00
E_form (uncorrected), meV/atom: -61

=====

(2)
VASP calculation (PBE) on crystalline AgSbSe2 at its relaxed geometry.

a b c (Å): 3.9834 3.9834 7.4430
angles (deg): 74.48 74.48 60.00
Element x y z (fractional)
Sb: 0.4995 0.4995 0.5014
Se: 0.0797 0.0797 0.7609
Se: 0.2540 0.2540 0.2379
Ag: 0.6667 0.6667 0.9999

Summary:
Theoretical density, g cm⁻³: 6.616
Final energy, eV per atom: -3.5757
Symmetry: R3m
Spin magnetization, μB per formula unit: 0.00
E_form (uncorrected), meV/atom: -90

=====

(3)
VASP calculation (PBE) on crystalline AgSbSe at its relaxed geometry.

a b c (Å): 5.3091 5.3091 2.9235
angles (deg): 90.00 90.00 120.00
Element x y z (fractional)
Sb: 0.6667 0.3333 0.6663
Ag: 0.0000 0.0000 0.6668
Se: 0.3333 0.6667 0.6669

Summary:
Theoretical density, g cm⁻³: 7.181
Final energy, eV per atom: -3.3186
Symmetry: P-6m2
Spin magnetization, μB per formula unit: 0.00
E_form (uncorrected), meV/atom: 168

=====

(4)
VASP calculation (PBE) on crystalline AgSbSe2 at its relaxed geometry.

a b c (Å): 4.9566 4.9566 3.6234
angles (deg): 90.00 90.00 90.21
Element x y z (fractional)
Sb: 0.0000 0.5000 0.5000
Se: 0.0000 0.0000 0.0000
Se: 0.5000 0.5000 0.0000
Ag: 0.5000 0.0000 0.5000

Summary:
Theoretical density, g cm⁻³: 7.229
Final energy, eV per atom: -3.3333
Symmetry: Cmmm
Spin magnetization, μB per formula unit: 0.00
E_form (uncorrected), meV/atom: 152

=====

(5)
VASP calculation (PBE) on crystalline AgSb4Se at its relaxed geometry.

a b c (Å): 6.1760 6.1760 6.1760
angles (deg): 60.00 60.00 60.00
Element x y z (fractional)
Sb: 0.3771 0.3771 0.8688
Sb: 0.3771 0.8688 0.3771
Sb: 0.3771 0.3771 0.3771
Sb: 0.8688 0.3771 0.3771
Ag: 0.0000 0.0000 0.0000
Se: 0.7500 0.7500 0.7500

Summary:
Theoretical density, g cm⁻³: 6.718
Final energy, eV per atom: -3.3409
Symmetry: F-43m
Spin magnetization, μB per formula unit: 0.00
E_form (uncorrected), meV/atom: 463

=====

(6)
VASP calculation (PBE) on crystalline AgSbSe at its relaxed geometry.

a b c (Å): 6.4431 4.3122 4.3122
angles (deg): 123.90 130.59 69.23
Element x y z (fractional)
Ag: 0.9929 0.0061 0.9869
Se: 0.6921 0.6260 0.0661
Sb: 0.3149 0.3679 0.9470

Summary:
Theoretical density, g cm⁻³: 6.786
Final energy, eV per atom: -3.4886
Symmetry: Cm
Spin magnetization, μB per formula unit: 0.00
E_form (uncorrected), meV/atom: -3

=====

(7)
VASP calculation (PBE) on crystalline AgSbSe2 at its relaxed geometry.

a b c (Å): 6.3926 6.3926 6.3926
angles (deg): 139.90 142.21 56.27
Element x y z (fractional)
Ag: 0.7500 0.2500 0.5000
Se: 0.0824 0.0824 0.0000
Se: 0.4176 0.4176 0.0000
Sb: 0.2500 0.7500 0.5000

Summary:
Theoretical density, g cm⁻³: 6.291
Final energy, eV per atom: -3.3820
Symmetry: Immm
Spin magnetization, μB per formula unit: 0.00
E_form (uncorrected), meV/atom: 104

=====

(8)
VASP calculation (PBE) on crystalline Ag4SbSe2 at its relaxed geometry.

a b c (Å): 7.3850 8.3843 7.3654
angles (deg): 104.38 98.84 123.71
Element x y z (fractional)
Se: 0.4726 0.8035 0.2983
Se: 0.2564 0.4026 0.5916
Se: 0.7974 0.4639 0.3238
Se: 0.6582 0.2939 0.7704
Ag: 0.8719 0.1343 0.6456
Ag: 0.8562 0.8123 0.3436
Ag: 0.3728 0.1115 0.3931
Ag: 0.5620 0.7184 0.9337
Ag: 0.2777 0.4100 0.0757
Ag: 0.7856 0.1667 0.0288
Ag: 0.8320 0.6544 0.7070
Ag: 0.2339 0.0673 0.7689
Sb: 0.2369 0.7012 0.5580
Sb: 0.0364 0.0101 0.0614

Summary:
Theoretical density, g cm⁻³: 6.894
Final energy, eV per atom: -3.2170
Symmetry: P1
Spin magnetization, μB per formula unit: 0.00
E_form (uncorrected), meV/atom: -3

=====

(9)
VASP calculation (PBE) on crystalline Ag2Sb3Se8 at its relaxed geometry.

a b c (Å): 6.9629 7.7346 7.6157
angles (deg): 120.52 97.07 90.00
Element x y z (fractional)
Se: 0.6408 0.1035 0.7379
Se: 0.9080 0.6324 0.2649
Se: 0.3592 0.3657 0.2621
Se: 0.6408 0.6343 0.7379
Se: 0.8483 0.1296 0.2591
Se: 0.0920 0.3676 0.7351
Se: 0.3592 0.8965 0.2621
Se: 0.1517 0.8704 0.7409
Sb: 0.5000 0.0000 0.0000
Sb: 0.0000 0.2518 0.0000
Sb: 0.0000 0.7482 0.0000
Ag: 0.4280 0.2869 0.5737
Ag: 0.5720 0.7131 0.4263

Summary:
Theoretical density, g cm⁻³: 5.758
Final energy, eV per atom: -3.6089
Symmetry: C2/m
Spin magnetization, μB per formula unit: 0.00
E_form (uncorrected), meV/atom: -75

=====

(10)
VASP calculation (PBE) on crystalline Ag3Sb4Se8 at its relaxed geometry.

a b c (Å): 8.1261 8.0844 8.0844
angles (deg): 90.76 119.48 119.48
Element x y z (fractional)
Se: 0.0022 0.2566 0.2566
Se: 0.4947 0.2504 0.2504
Se: 0.5053 0.7496 0.7496
Se: 0.0000 0.2493 0.7507
Se: 0.5000 0.7486 0.2514
Se: 0.9978 0.7434 0.7434
Se: 0.5000 0.2514 0.7486
Se: 0.0000 0.7507 0.2493
Ag: 0.5000 0.5000 0.0000
Ag: 0.5000 0.0000 0.5000
Ag: 0.5000 0.5000 0.5000
Sb: 0.0000 0.0000 0.0000
Sb: 0.0000 0.5000 0.0000
Sb: 0.5000 0.0000 0.0000
Sb: 0.0000 0.0000 0.5000

Summary:
Theoretical density, g cm⁻³: 6.320
Final energy, eV per atom: -3.6837
Symmetry: C2/m
Spin magnetization, μB per formula unit: 0.00
E_form (uncorrected), meV/atom: -156

=====

(11)
VASP calculation (PBE) on crystalline Ag5SbSe3 at its relaxed geometry.

a b c (Å): 7.5330 7.5330 9.3179
angles (deg): 72.66 72.66 64.63
Element x y z (fractional)
Ag: 0.6212 0.6212 0.6026
Ag: 0.7798 0.7798 0.0605
Ag: 0.3788 0.3788 0.3974
Ag: 0.0299 0.5882 0.6120
Ag: 0.9701 0.4118 0.3880
Ag: 0.3262 0.6738 0.0000
Ag: 0.4118 0.9701 0.3880
Ag: 0.6738 0.3262 0.0000
Ag: 0.5882 0.0299 0.6120
Ag: 0.2202 0.2202 0.9395
Se: 0.6042 0.6042 0.3094
Se: 0.0000 0.0000 0.5000
Se: 0.3102 0.3102 0.1552
Se: 0.3958 0.3958 0.6906
Se: 0.6898 0.6898 0.8448
Se: 0.0000 0.0000 0.0000
Sb: 0.8533 0.8533 0.3384
Sb: 0.1467 0.1467 0.6616

Summary:
Theoretical density, g cm⁻³: 6.670
Final energy, eV per atom: -3.1814
Symmetry: C2/m
Spin magnetization, μB per formula unit: 0.00
E_form (uncorrected), meV/atom: 22

=====

(12)
VASP calculation (PBE) on crystalline Ag12Sb3Se5 at its relaxed geometry.

a b c (Å): 13.6760 13.6760 13.6760
angles (deg): 109.47 109.47 109.47
Element x y z (fractional)
Ag: 0.3699 0.9431 0.7711
Ag: 0.7289 0.5988 0.1720
Ag: 0.0988 0.1720 0.2289
Ag: 0.6301 0.0569 0.2289
Ag: 0.0988 0.9268 0.3699
Ag: 0.5988 0.7289 0.6720
Ag: 0.0569 0.6301 0.7289
Ag: 0.8699 0.5988 0.9268
Ag: 0.6301 0.5732 0.9012
Ag: 0.6720 0.2289 0.5988
Ag: 0.3280 0.5569 0.4268
Ag: 0.0732 0.1720 0.4431
Ag: 0.2711 0.4012 0.8280
Ag: 0.4012 0.2711 0.3280
Ag: 0.5732 0.6301 0.4012
Ag: 0.1720 0.0988 0.7289
Ag: 0.8699 0.2711 0.4431
Ag: 0.3699 0.4268 0.0988
Ag: 0.4268 0.3699 0.5988
Ag: 0.9431 0.3699 0.2711
Ag: 0.9268 0.0988 0.8699
Ag: 0.1720 0.0732 0.9431
Ag: 0.6720 0.4431 0.5732
Ag: 0.7289 0.1301 0.0569
Ag: 0.8280 0.9268 0.0569
Ag: 0.2289 0.6720 0.0988
Ag: 0.0569 0.4268 0.8280
Ag: 0.7711 0.4431 0.3699
Ag: 0.4431 0.6720 0.0732
Ag: 0.3280 0.7711 0.4012
Ag: 0.4012 0.1301 0.5732
Ag: 0.1301 0.4012 0.0732
Ag: 0.9268 0.8280 0.5569
Ag: 0.4431 0.7711 0.8699
Ag: 0.5569 0.2289 0.1301
Ag: 0.5732 0.9431 0.6720
Ag: 0.2711 0.8699 0.9431
Ag: 0.9012 0.0732 0.6301
Ag: 0.7711 0.3280 0.9012
Ag: 0.5569 0.3280 0.9268
Ag: 0.2289 0.5569 0.6301
Ag: 0.1301 0.7289 0.5569
Ag: 0.0732 0.9012 0.1301
Ag: 0.9431 0.5732 0.1720
Ag: 0.4268 0.0569 0.3280
Ag: 0.5988 0.8699 0.4268
Ag: 0.9012 0.8280 0.7711
Ag: 0.8280 0.9012 0.2711
Se: 0.7500 0.1250 0.8750
Se: 0.2500 0.3750 0.6250
Se: 0.0000 0.0000 0.0000
Se: 0.7500 0.6250 0.3750
Se: 0.6250 0.7500 0.8750
Se: 0.8750 0.2500 0.6250
Se: 0.5000 0.5000 0.5000
Se: 0.6250 0.8750 0.2500
Se: 0.5000 0.0000 0.0000
Se: 0.3750 0.2500 0.1250
Se: 0.1250 0.7500 0.3750
Se: 0.5000 0.5000 0.0000
Se: 0.5000 0.0000 0.5000
Se: 0.1250 0.3750 0.2500
Se: 0.0000 0.5000 0.0000
Se: 0.8750 0.6250 0.7500
Se: 0.0000 0.5000 0.5000
Se: 0.2500 0.8750 0.1250
Se: 0.0000 0.0000 0.5000
Se: 0.3750 0.1250 0.7500
Sb: 0.8750 0.1250 0.2500
Sb: 0.7500 0.3750 0.1250
Sb: 0.6250 0.2500 0.3750
Sb: 0.8750 0.7500 0.1250
Sb: 0.7500 0.8750 0.6250
Sb: 0.2500 0.1250 0.3750
Sb: 0.1250 0.8750 0.7500
Sb: 0.3750 0.6250 0.2500
Sb: 0.2500 0.6250 0.8750
Sb: 0.1250 0.2500 0.8750
Sb: 0.3750 0.7500 0.6250
Sb: 0.6250 0.3750 0.7500

Summary:
Theoretical density, g cm⁻³: 6.930
Final energy, eV per atom: -3.1357
Symmetry: Ia-3d
Spin magnetization, μB per formula unit: 0.00
E_form (uncorrected), meV/atom: 65